An optimized crystal structure of K3NpCo2O6, computed with PBE with a Hubbard U.

Cell lengths 6.205, 6.205, 6.251 Å; angles 95.16, 95.16, 127.11 degrees
Element x y z (fractional)
1 K 0.182 0.818 0.500
2 K 0.818 0.182 0.500
3 K 0.500 0.500 0.500
4 Np 0.000 0.000 0.000
5 Co 0.282 0.718 0.000
6 Co 0.718 0.282 0.000
7 O 0.904 0.590 0.834
8 O 0.837 0.837 0.246
9 O 0.096 0.410 0.166
10 O 0.590 0.904 0.834
11 O 0.163 0.163 0.754
12 O 0.410 0.096 0.166

Calculated volume = 187.94 Å³/cell
ρ = 5.0 g/cm³
Spin magnetization = 4.0 μB per formula unit
Total energy = -6.45 eV per atom
Density of states at the Fermi level = 4.38 states/eV/f.u.